The following is a PBE calculation of ReRh2Cl after structural relaxation, from Alexandria via LeMat-Bulk.

Summary:
SG = No. 47
distance to the lowest polymorph of the same formula = 0.55 eV per formula unit
M_tot = 1.0 μB per cell

Cell: 2.871 3.433 6.812 Å, 90.00 90.00 90.00°
Element x y z (fractional)
Re1 0.000 0.000 0.000
Rh1 0.500 0.500 0.204
Rh2 0.500 0.500 0.796
Cl1 0.500 0.000 0.500